[1]
A relaxed structure of Ba8Rh2F, computed with PBE.

Cell: 7.517 8.882 9.359 Å, 121.91 90.04 86.16°
Atoms (fractional coordinates):
1 Rh 0.001 0.479 0.739
2 Rh 0.999 0.521 0.261
3 Ba 0.294 0.760 0.380
4 Ba 0.706 0.240 0.620
5 Ba 0.813 0.717 0.101
6 Ba 0.187 0.283 0.383
7 Ba 0.268 0.764 0.883
8 Ba 0.187 0.283 0.899
9 Ba 0.813 0.717 0.617
10 Ba 0.732 0.236 0.117
11 F 0.000 0.000 0.000

Values from the calculation:
Volume (Å³/cell): 529
E_tot (eV/atom): -3.51
Space-group type: No. 2
Formation energy from raw total energies (eV per atom): -0.60

[2]
A relaxed structure of AlTcSb2, computed with PBE.

Cell: 4.851 4.851 5.258 Å, 82.42 82.42 40.92°
Atoms (fractional coordinates):
1 Sb 0.022 0.022 0.982
2 Sb 0.478 0.478 0.518
3 Tc 0.750 0.750 0.750
4 Al 0.250 0.250 0.250

Values from the calculation:
Volume (Å³/cell): 80
E_tot (eV/atom): -5.31
Space-group type: No. 12
Formation energy from raw total energies (eV per atom): 0.28

[3]
A relaxed structure of ZnBiSeN2, computed with PBE.

Cell: 4.256 4.256 6.068 Å, 90.00 90.00 90.00°
Atoms (fractional coordinates):
1 Zn 0.500 0.500 0.500
2 Bi 0.000 0.000 0.000
3 Se 0.000 0.000 0.500
4 N 0.000 0.500 0.000
5 N 0.500 0.000 0.000

Values from the calculation:
Volume (Å³/cell): 110
E_tot (eV/atom): -3.57
Space-group type: No. 123
Formation energy from raw total energies (eV per atom): 1.49